Computed, not measured: Li2ZrTe after structural relaxation at the PBE-GGA level of DFT.

Output
- VASP energy: -4.215 eV/atom

Unit cell a=3.7348 b=3.8496 c=6.4424 alpha=90.00 beta=106.67 gamma=90.00
With the nearest neighbours (Å) after each atom.
Space group Pm (No. 6)
Unique sites:
Li: 0.0000 0.0000 0.0000 x1  2 Te 2.76, 4 Li 2.94-2.95, 1 Zr 3.04
Li: 0.4017 0.5000 0.8024 x1  4 Li 2.94-2.95, 1 Te 2.97, 4 Zr 3.24-3.25
Zr: 0.7575 0.0000 0.5070 x1  4 Te 2.92, 5 Li 3.04-3.25
Te: 0.1652 0.5000 0.3206 x1  3 Li 2.76-2.97, 4 Zr 2.92